No. 1
Cr2BiH | PBE-GGA | relaxed

Values from the calculation:
The density of states at the Fermi level comes out at 13.4 states/eV/cell. For the energy above the most stable polymorph in this dataset, the calculation gives 0.000 eV per atom.

Cell lengths 4.823, 4.823, 9.656 Å; angles 90.00, 90.00, 90.00 degrees
Space group I4_1/amd (No. 141, origin choice 2)
Asymmetric unit:
Cr1 0.000 0.000 0.000 [8 per cell]
Bi1 0.000 0.250 0.375 [4 per cell]
H1 0.000 0.250 0.875 [4 per cell]



No. 2
CrBiH | PBE-GGA | relaxed

Values from the calculation:
The density of states at the Fermi level comes out at 3.8 states/eV/cell.

Cell lengths 3.595, 3.595, 7.566 Å; angles 90.00, 90.00, 90.00 degrees
Space group P4/nmm (No. 129, origin choice 2)
Asymmetric unit:
Cr1 0.250 0.750 0.000 [2 per cell]
Bi1 0.250 0.250 0.295 [2 per cell]
H1 0.250 0.250 0.929 [2 per cell]



No. 3
CrBiH2 | PBE-GGA | relaxed

Values from the calculation:
The density of states at the Fermi level comes out at 2.7 states/eV/cell. For the energy above the most stable polymorph in this dataset, the calculation gives 0.000 eV per atom.

Cell lengths 4.509, 4.509, 10.367 Å; angles 90.00, 90.00, 90.00 degrees
Space group I-42d (No. 122)
Asymmetric unit:
Cr1 0.000 0.000 0.000 [4 per cell]
Bi1 0.000 0.000 0.500 [4 per cell]
H1 0.001 0.750 0.125 [8 per cell]



Q: Which raw total energy values were calculated for the entries above? A: -6.10; -5.41; -4.72, in eV/atom.